Below is an optimized crystal structure of PmPrHoSc, with properties calculated at the PBE-GGA level.

abc: 3.8088 5.7114 6.7615
angles: 114.98 73.55 90.00
Last column: nearest neighbours and their distance in Å.
Fractional positions:
Pm (0.4189, 0.1363, 0.2727)  4 Sc 3.42-3.45, 2 Ho 3.61-3.64, 2 Pr 3.70-3.76, 2 Pm 3.81
Ho (0.1941, 0.8715, 0.7430)  2 Sc 3.24-3.26, 4 Pr 3.46-3.47, 1 Pm 3.61
Sc (0.9170, 0.6450, 0.2901)  2 Ho 3.24-3.26, 2 Pr 3.31-3.33, 4 Pm 3.42-3.45
Pr (0.6559, 0.4118, 0.8236)  2 Sc 3.31-3.33, 4 Ho 3.46-3.47, 1 Pm 3.70

Properties
**Density**: 6.500 g cm⁻³
**DOS(E_F)**: 6.8 states/eV/f.u.
**VASP energy**: -20.04 eV/f.u.

Below is an optimized crystal structure of Pm6Pr3Ho2Sc, with properties calculated at the PBE-GGA level.

abc: 6.2760 6.2760 11.9436
angles: 95.03 95.03 120.02
Last column: nearest neighbours and their distance in Å.
Fractional positions:
Pr (0.8333, 0.1667, 0.5000)  6 Pr 3.62, 6 Pm 3.68-3.70
Pr (0.1667, 0.8333, 0.5000)  6 Pr 3.62, 6 Pm 3.68-3.70
Pr (0.5000, 0.5000, 0.5000)  6 Pr 3.62, 6 Pm 3.68-3.69
Pm (0.5890, 0.9192, 0.7581)  1 Sc 3.52, 2 Ho 3.54, 6 Pm 3.59-3.64, 3 Pr 3.68-3.70
Pm (0.4110, 0.0808, 0.2419)  1 Sc 3.52, 2 Ho 3.54, 6 Pm 3.59-3.64, 3 Pr 3.68-3.70
Pm (0.2495, 0.2495, 0.7577)  1 Sc 3.52, 2 Ho 3.54, 6 Pm 3.59-3.64, 3 Pr 3.68-3.69
Pm (0.7505, 0.7505, 0.2423)  1 Sc 3.52, 2 Ho 3.54, 6 Pm 3.59-3.64, 3 Pr 3.68-3.69
Pm (0.9192, 0.5890, 0.7581)  1 Sc 3.52, 2 Ho 3.54, 6 Pm 3.59-3.64, 3 Pr 3.68-3.70
Pm (0.0808, 0.4110, 0.2419)  1 Sc 3.52, 2 Ho 3.54, 6 Pm 3.59-3.64, 3 Pr 3.68-3.70
Ho (0.3334, 0.6666, 0.0000)  6 Pm 3.54, 3 Ho 3.62, 3 Sc 3.62
Ho (0.6666, 0.3334, 0.0000)  6 Pm 3.54, 3 Ho 3.62, 3 Sc 3.62
Sc (0.0000, 0.0000, 0.0000)  6 Pm 3.52, 6 Ho 3.62

Properties
**Density**: 6.905 g cm⁻³
**DOS(E_F)**: 16.9 states/eV/f.u.
**VASP energy**: -57.95 eV/f.u.

Below is an optimized crystal structure of Pm5Pr2HoSc, with properties calculated at the PBE-GGA level.

abc: 8.4673 8.4673 10.3738
angles: 114.09 114.09 90.00
Last column: nearest neighbours and their distance in Å.
Fractional positions:
Ho (0.7500, 0.7500, 0.5000)  8 Pm 3.49
Ho (0.2500, 0.2500, 0.5000)  8 Pm 3.49
Pm (0.8648, 0.9281, 0.2928)  1 Pr 3.11, 1 Sc 3.15
Pm (0.1352, 0.0719, 0.7072)  1 Pr 3.11, 1 Sc 3.15
Pm (0.0000, 0.0000, 0.0000)  4 Pr 3.35
Pm (0.0719, 0.5719, 0.7072)  1 Pr 3.11, 1 Sc 3.15
Pm (0.9281, 0.4281, 0.2928)  1 Pr 3.11, 1 Sc 3.15
Pm (0.3648, 0.8648, 0.2928)  1 Pr 3.11, 1 Sc 3.15
Pm (0.6352, 0.1352, 0.7072)  1 Pr 3.11, 1 Sc 3.15
Pm (0.5719, 0.6352, 0.7072)  1 Pr 3.11, 1 Sc 3.15
Pm (0.4281, 0.3648, 0.2928)  1 Pr 3.11, 1 Sc 3.15
Pm (0.5000, 0.5000, 0.0000)  4 Pr 3.35
Sc (0.2500, 0.7500, 0.5000)  4 Pm 3.15
Sc (0.7500, 0.2500, 0.5000)  4 Pm 3.15
Pr (0.1248, 0.3752, 0.0000)  1 Pr 2.99, 2 Pm 3.11
Pr (0.6248, 0.1248, 0.0000)  1 Pr 2.99, 2 Pm 3.11
Pr (0.3752, 0.8752, 0.0000)  1 Pr 2.99, 2 Pm 3.11
Pr (0.8752, 0.6248, 0.0000)  1 Pr 2.99, 2 Pm 3.11

Properties
**Density**: 6.653 g cm⁻³
**DOS(E_F)**: 12.7 states/eV/f.u.
**VASP energy**: -41.76 eV/f.u.

Below is an optimized crystal structure of Pm2PrHoSe5, with properties calculated at the PBE-GGA level.

abc: 5.1256 5.1256 11.0461
angles: 90.00 90.00 90.00
Last column: nearest neighbours and their distance in Å.
Fractional positions:
Se (0.0000, 0.0000, 0.7478)  1 Ho 2.74, 1 Pr 2.79
Se (0.0000, 0.0000, 0.2522)  1 Ho 2.74, 1 Pr 2.79
Se (0.5000, 0.5000, 0.0000)  4 Pr 3.62, 2 Pm 3.71
Se (0.5000, 0.0000, 0.5000)  2 Ho 2.56
Se (0.0000, 0.5000, 0.5000)  2 Ho 2.56
Ho (0.0000, 0.0000, 0.5000)  6 Se 2.56-2.74
Pr (0.0000, 0.0000, 0.0000)  2 Se 2.79
Pm (0.5000, 0.5000, 0.6644)  4 Se 3.14
Pm (0.5000, 0.5000, 0.3356)  4 Se 3.14

Properties
**Density**: 5.669 g cm⁻³
**DOS(E_F)**: 5.5 states/eV/f.u.
**ΔE_f (raw)**: -29.368 kcal/mol of atoms
**VASP energy**: -47.74 eV/f.u.

Below is an optimized crystal structure of PmPr2Ho3Se6, with properties calculated at the PBE-GGA level.

abc: 4.0953 8.4228 9.3383
angles: 104.85 102.67 90.00
Last column: nearest neighbours and their distance in Å.
Fractional positions:
Pr (0.1670, 0.3338, 0.3341)  6 Se 3.01-3.02
Pr (0.8330, 0.6662, 0.6659)  6 Se 3.01-3.02
Se (0.6691, 0.0714, 0.3383)  3 Ho 2.86-2.87, 1 Pm 2.98, 2 Pr 3.02
Se (0.3378, 0.4059, 0.6756)  3 Ho 2.85-2.86, 3 Pr 3.01-3.02
Se (0.0045, 0.7430, 0.0091)  3 Ho 2.87-2.88, 2 Pm 3.00, 1 Pr 3.02
Se (0.6622, 0.5941, 0.3244)  3 Ho 2.85-2.86, 3 Pr 3.01-3.02
Se (0.3309, 0.9286, 0.6617)  3 Ho 2.86-2.87, 1 Pm 2.98, 2 Pr 3.02
Se (0.9955, 0.2570, 0.9909)  3 Ho 2.87-2.88, 2 Pm 3.00, 1 Pr 3.02
Ho (0.5000, 0.5000, 0.0000)  6 Se 2.85-2.88
Ho (0.8323, 0.1665, 0.6645)  6 Se 2.86-2.87
Ho (0.1677, 0.8335, 0.3355)  6 Se 2.86-2.87
Pm (0.5000, 0.0000, 0.0000)  6 Se 2.98-3.00

Properties
**Density**: 7.641 g cm⁻³
**DOS(E_F)**: 5.0 states/eV/f.u.
**ΔE_f (raw)**: -41.243 kcal/mol of atoms
**VASP energy**: -70.41 eV/f.u.

Below is an optimized crystal structure of PmPr2HoSe5, with properties calculated at the PBE-GGA level.

abc: 5.1174 5.1174 10.9312
angles: 90.00 90.00 90.00
Last column: nearest neighbours and their distance in Å.
Fractional positions:
Pm (0.0000, 0.0000, 0.0000)  2 Se 2.73
Ho (0.0000, 0.0000, 0.5000)  6 Se 2.56-2.74
Pr (0.5000, 0.5000, 0.6798)  5 Se 3.23-3.50
Pr (0.5000, 0.5000, 0.3202)  5 Se 3.23-3.50
Se (0.5000, 0.0000, 0.5000)  2 Ho 2.56
Se (0.0000, 0.0000, 0.7504)  1 Pm 2.73, 1 Ho 2.74
Se (0.5000, 0.5000, 0.0000)  2 Pr 3.50, 4 Pm 3.62
Se (0.0000, 0.5000, 0.5000)  2 Ho 2.56
Se (0.0000, 0.0000, 0.2496)  1 Pm 2.73, 1 Ho 2.74

Properties
**Density**: 5.723 g cm⁻³
**DOS(E_F)**: 6.0 states/eV/f.u.
**ΔE_f (raw)**: -30.397 kcal/mol of atoms
**VASP energy**: -48.17 eV/f.u.

Below is an optimized crystal structure of PmPrHo2Se4, with properties calculated at the PBE-GGA level.

abc: 4.0703 7.3502 7.0994
angles: 71.43 90.00 90.00
Last column: nearest neighbours and their distance in Å.
Fractional positions:
Pm (0.0000, 0.5000, 0.5000)  6 Se 2.99
Ho (0.0000, 0.0000, 0.0000)  6 Se 2.87-2.88
Ho (0.5000, 0.0000, 0.5000)  6 Se 2.85-2.86
Se (0.0000, 0.2324, 0.2584)  3 Ho 2.85-2.88, 1 Pm 2.99, 2 Pr 3.01
Se (0.5000, 0.2342, 0.7531)  3 Ho 2.86-2.87, 2 Pm 2.99, 1 Pr 3.01
Se (0.5000, 0.7658, 0.2469)  3 Ho 2.86-2.87, 2 Pm 2.99, 1 Pr 3.01
Se (0.0000, 0.7676, 0.7416)  3 Ho 2.85-2.88, 1 Pm 2.99, 2 Pr 3.01
Pr (0.5000, 0.5000, 0.0000)  6 Se 3.01

Properties
**Density**: 7.683 g cm⁻³
**DOS(E_F)**: 3.9 states/eV/f.u.
**ΔE_f (raw)**: -41.182 kcal/mol of atoms
**VASP energy**: -46.91 eV/f.u.

Below is an optimized crystal structure of PmPr3Ho2Se6, with properties calculated at the PBE-GGA level.

abc: 7.2039 7.2039 7.3393
angles: 99.40 99.40 120.23
Last column: nearest neighbours and their distance in Å.
Fractional positions:
Pr (0.1611, 0.8389, 0.5000)  6 Se 3.01-3.04
Pr (0.5000, 0.5000, 0.5000)  6 Se 2.98-3.04
Pr (0.8389, 0.1611, 0.5000)  6 Se 3.01-3.04
Se (0.0785, 0.4208, 0.2365)  2 Ho 2.88, 1 Pm 2.96, 3 Pr 3.01-3.04
Se (0.9215, 0.5792, 0.7635)  2 Ho 2.88, 1 Pm 2.96, 3 Pr 3.01-3.04
Se (0.2647, 0.2647, 0.7679)  2 Ho 2.86, 1 Pm 2.94, 3 Pr 2.98-3.01
Se (0.4208, 0.0785, 0.2365)  2 Ho 2.88, 1 Pm 2.96, 3 Pr 3.01-3.04
Se (0.5792, 0.9215, 0.7635)  2 Ho 2.88, 1 Pm 2.96, 3 Pr 3.01-3.04
Se (0.7353, 0.7353, 0.2321)  2 Ho 2.86, 1 Pm 2.94, 3 Pr 2.98-3.01
Ho (0.6662, 0.3338, 0.0000)  6 Se 2.86-2.88
Ho (0.3338, 0.6662, 0.0000)  6 Se 2.86-2.88
Pm (0.0000, 0.0000, 0.0000)  6 Se 2.94-2.96

Properties
**Density**: 7.324 g cm⁻³
**DOS(E_F)**: 5.6 states/eV/f.u.
**ΔE_f (raw)**: -41.696 kcal/mol of atoms
**VASP energy**: -70.85 eV/f.u.

Below is an optimized crystal structure of PmPrHo2Se6, with properties calculated at the PBE-GGA level.

abc: 7.3381 7.3380 7.7616
angles: 61.80 61.80 60.00
Last column: nearest neighbours and their distance in Å.
Fractional positions:
Pm (0.8139, 0.8140, 0.5582)  6 Se 2.92-3.00
Ho (0.0140, 0.0141, 0.9578)  6 Se 2.83-2.89
Ho (0.5127, 0.5126, 0.4621)  6 Se 2.83-2.89
Pr (0.3115, 0.3114, 0.0657)  6 Se 2.95-3.05
Se (0.6316, 0.2297, 0.2454)  2 Ho 2.83-2.89, 1 Pr 2.95, 1 Pm 3.00
Se (0.8934, 0.6317, 0.2454)  2 Ho 2.83-2.89, 1 Pr 2.95, 1 Pm 3.00
Se (0.7300, 0.1244, 0.7451)  2 Ho 2.83-2.89, 1 Pm 2.92, 1 Pr 3.05
Se (0.4004, 0.7299, 0.7451)  2 Ho 2.83-2.89, 1 Pm 2.93, 1 Pr 3.05
Se (0.1245, 0.4005, 0.7452)  2 Ho 2.83-2.89, 1 Pm 2.92, 1 Pr 3.05
Se (0.2297, 0.8933, 0.2453)  2 Ho 2.83-2.89, 1 Pr 2.95, 1 Pm 3.00

Properties
**Density**: 5.965 g cm⁻³
**DOS(E_F)**: 0.0 states/eV/f.u.
**ΔE_f (raw)**: -42.527 kcal/mol of atoms
**VASP energy**: -58.03 eV/f.u.

Below is an optimized crystal structure of PmPr4HoSe8, with properties calculated at the PBE-GGA level.

abc: 8.6952 8.6952 8.6811
angles: 59.95 59.95 60.00
Last column: nearest neighbours and their distance in Å.
Fractional positions:
Pr (0.6245, 0.6245, 0.1265)  4 Se 2.84-2.85
Pr (0.0021, 0.4938, 0.5019)  6 Se 3.00-3.02
Pr (0.4938, 0.0021, 0.5019)  6 Se 3.00-3.02
Pr (0.0021, 0.0021, 0.5019)  6 Se 3.00-3.02
Pm (0.0021, 0.0021, 0.9938)  6 Se 2.97-2.98
Se (0.2477, 0.2477, 0.2570)  1 Ho 2.71, 3 Pr 3.02
Se (0.7610, 0.7610, 0.2547)  3 Pr 2.85-3.01, 1 Pm 2.97
Se (0.2447, 0.7595, 0.7511)  1 Ho 2.73, 1 Pm 2.98, 2 Pr 3.02
Se (0.2447, 0.2447, 0.7511)  1 Ho 2.73, 1 Pm 2.98, 2 Pr 3.02
Se (0.2232, 0.7610, 0.2547)  3 Pr 2.85-3.01, 1 Pm 2.97
Se (0.7581, 0.7581, 0.7258)  4 Pr 2.84-3.00
Se (0.7595, 0.2447, 0.7511)  1 Ho 2.73, 1 Pm 2.98, 2 Pr 3.02
Se (0.7610, 0.2232, 0.2547)  3 Pr 2.85-3.01, 1 Pm 2.97
Ho (0.3754, 0.3754, 0.8738)  4 Se 2.71-2.73

Properties
**Density**: 5.390 g cm⁻³
**DOS(E_F)**: 8.5 states/eV/f.u.
**ΔE_f (raw)**: -39.755 kcal/mol of atoms
**VASP energy**: -80.46 eV/f.u.

Below is an optimized crystal structure of Pm3Pr2HoSe6, with properties calculated at the PBE-GGA level.

abc: 4.1778 8.4447 9.3680
angles: 102.68 102.88 90.00
Last column: nearest neighbours and their distance in Å.
Fractional positions:
Se (0.9975, 0.2392, 0.9950)  2 Ho 2.91, 3 Pm 3.00-3.03, 1 Pr 3.05
Se (0.3389, 0.9234, 0.6778)  1 Ho 2.87, 3 Pm 2.96-2.98, 2 Pr 3.01
Se (0.0025, 0.7608, 0.0050)  2 Ho 2.91, 3 Pm 3.00-3.03, 1 Pr 3.05
Se (0.6611, 0.0766, 0.3222)  1 Ho 2.87, 3 Pm 2.96-2.98, 2 Pr 3.01
Se (0.6643, 0.5865, 0.3285)  3 Pm 2.92-2.94, 3 Pr 2.98-2.99
Se (0.3357, 0.4135, 0.6715)  3 Pm 2.92-2.94, 3 Pr 2.98-2.99
Pm (0.5000, 0.5000, 0.0000)  6 Se 2.92-3.03
Pm (0.8287, 0.1661, 0.6575)  6 Se 2.94-3.00
Pm (0.1713, 0.8339, 0.3425)  6 Se 2.94-3.00
Pr (0.8315, 0.6638, 0.6629)  6 Se 2.98-3.05
Pr (0.1685, 0.3362, 0.3371)  6 Se 2.98-3.05
Ho (0.5000, 0.0000, 0.0000)  6 Se 2.87-2.91

Properties
**Density**: 7.171 g cm⁻³
**DOS(E_F)**: 5.9 states/eV/f.u.
**ΔE_f (raw)**: -41.902 kcal/mol of atoms
**VASP energy**: -71.10 eV/f.u.

Below is an optimized crystal structure of PmPrHo4Se8, with properties calculated at the PBE-GGA level.

abc: 8.4566 8.4566 8.5179
angles: 60.24 60.24 60.00
Last column: nearest neighbours and their distance in Å.
Fractional positions:
Se (0.7511, 0.2327, 0.2652)  3 Ho 2.72-2.89, 1 Pm 2.98
Se (0.2327, 0.7511, 0.2652)  3 Ho 2.72-2.89, 1 Pm 2.98
Se (0.2370, 0.2370, 0.2889)  1 Pr 2.85, 3 Ho 2.86
Se (0.7511, 0.7511, 0.2652)  3 Ho 2.72-2.89, 1 Pm 2.98
Se (0.2444, 0.7817, 0.7295)  1 Pr 2.83, 2 Ho 2.86, 1 Pm 2.95
Se (0.7817, 0.2444, 0.7295)  1 Pr 2.83, 2 Ho 2.86, 1 Pm 2.95
Se (0.7577, 0.7577, 0.7268)  4 Ho 2.76-2.90
Se (0.2444, 0.2444, 0.7295)  1 Pr 2.83, 2 Ho 2.86, 1 Pm 2.95
Ho (0.5030, 0.9992, 0.4986)  6 Se 2.86-2.90
Ho (0.9992, 0.5030, 0.4986)  6 Se 2.86-2.90
Ho (0.6260, 0.6260, 0.1219)  4 Se 2.72-2.76
Ho (0.9992, 0.9992, 0.4986)  6 Se 2.86-2.90
Pm (0.9992, 0.9992, 0.0023)  6 Se 2.95-2.98
Pr (0.3733, 0.3733, 0.8802)  4 Se 2.83-2.85

Properties
**Density**: 6.059 g cm⁻³
**DOS(E_F)**: 8.6 states/eV/f.u.
**ΔE_f (raw)**: -39.442 kcal/mol of atoms
**VASP energy**: -79.66 eV/f.u.

Q: Which of these has the lowest VASP energy?
A: PmPr4HoSe8